Entry 1:
Material: CdCoBr2
Method: DFT, PBE-GGA
State: relaxed

The volume comes out at 328.00 Å³/cell. For the raw total energy, the calculation gives -35.38 eV per cell. Its uncorrected formation energy is -41 kJ/mol of formula units. The calculation puts the energy above the lowest structure with this stoichiometry at 18.9 meV/atom.

The structure belongs to space group R-3m (No. 166, hexagonal axes); the cell edges are 3.6248, 3.6248 and 28.8251 Å and the angles 90.00°, 90.00° and 120.00°. Symmetry generates all atoms from Cd at (0.0000, 0.0000, 0.0000), Co at (0.0000, 0.0000, 0.5000) and Br at (0.0000, 0.0000, 0.2182).

=====

Entry 2:
Material: LiLa2SnRu
Method: DFT, PBE-GGA
State: relaxed

The formation energy comes out at -0.273 eV/atom. The volume comes out at 137.94 Å³/cell. For the raw total energy, the calculation gives -26.41 eV per cell. The calculation puts the energy above the lowest structure with this stoichiometry at 0.0 meV/atom.

The structure belongs to space group P4/mmm (No. 123); the cell edges are 5.319, 5.319 and 4.876 Å and the angles 90.00°, 90.00° and 90.00°. Symmetry generates all atoms from Li at (0.000, 0.000, 0.000), La at (0.000, 0.500, 0.500), Sn at (0.500, 0.500, 0.000) and Ru at (0.000, 0.000, 0.500).